Density functional theory data (PBE) for a relaxed structure of MnNbInPd2.

Calculated values
- SG: P4/mmm, No. 123
- Formation enthalpy at 0 K: 23.9 kcal/mol of atoms
- Crystal system: tetragonal

a = 4.5219 Å, b = 4.8135 Å, c = 4.5219 Å
α = 90.00°, β = 90.00°, γ = 90.00°
Last column: nearest neighbours and their distance in Å.
Fractional coordinates of all 5 atoms:
Pd 0.5000 0.0000 0.0000  2 Mn 2.26
Pd 0.0000 0.0000 0.5000  2 Mn 2.26
Nb 0.5000 0.5000 0.5000  4 In 3.20, 8 Pd 3.30
In 0.0000 0.5000 0.0000  2 Mn 2.41
Mn 0.0000 0.0000 0.0000  4 Pd 2.26, 2 In 2.41